Computed, not measured: a geometry-optimized BiPt15 structure at the PBE level of DFT.

Properties
Its space group is No. 13. The energy above the most stable polymorph in this dataset is 0.341 eV per formula unit. The calculation puts the total DFT energy (no corrections) at -0.4336 Ry per atom.

a b c (Å): 4.839 36.287 4.838
angles (deg): 90.00 109.45 90.00
Sites, in units of the cell vectors:
1 Bi 0.000 0.199 0.250
2 Bi 0.000 0.801 0.750
3 Pt 0.000 0.245 0.750
4 Pt 0.000 0.286 0.250
5 Pt 0.000 0.325 0.750
6 Pt 0.000 0.364 0.250
7 Pt 0.000 0.403 0.750
8 Pt 0.000 0.442 0.250
9 Pt 0.000 0.481 0.750
10 Pt 0.000 0.519 0.250
11 Pt 0.000 0.558 0.750
12 Pt 0.000 0.597 0.250
13 Pt 0.000 0.636 0.750
14 Pt 0.000 0.675 0.250
15 Pt 0.000 0.714 0.750
16 Pt 0.000 0.755 0.250
17 Pt 0.500 0.211 0.750
18 Pt 0.500 0.245 0.250
19 Pt 0.500 0.286 0.750
20 Pt 0.500 0.325 0.250
21 Pt 0.500 0.364 0.750
22 Pt 0.500 0.403 0.250
23 Pt 0.500 0.442 0.750
24 Pt 0.500 0.481 0.250
25 Pt 0.500 0.519 0.750
26 Pt 0.500 0.558 0.250
27 Pt 0.500 0.597 0.750
28 Pt 0.500 0.636 0.250
29 Pt 0.500 0.675 0.750
30 Pt 0.500 0.714 0.250
31 Pt 0.500 0.755 0.750
32 Pt 0.500 0.789 0.250